#1
First-principles (PBE) data for a relaxed structure of ReTc2, as listed in Alexandria via LeMat-Bulk.

Structure (POSCAR):
```
ReTc2
1.0
2.0703 -3.6105 -2.8001
-3.4226 -1.0677 3.5083
-2.5054 2.8106 -3.3145
Tc Re
4 2
Direct
0.3586 0.8586 0.2172
0.8586 0.6414 0.5000
0.1414 0.3586 0.5000
0.6414 0.1414 0.7828
0.2500 0.2500 0.0000
0.7500 0.7500 0.0000
```

**Total magnetic moment**: 0.000 μB per atom

---

#2
First-principles (PBE) data for a relaxed structure of ReTc2, as listed in Alexandria via LeMat-Bulk.

Structure (POSCAR):
```
ReTc2
1.0
2.7300 0.0000 -0.4243
0.0000 4.4435 0.0000
-0.2620 0.0000 7.3086
Re Tc
2 4
Direct
0.1113 0.2500 0.2227
0.8887 0.7500 0.7773
0.2224 0.7500 0.4447
0.5560 0.7500 0.1119
0.7776 0.2500 0.5553
0.4440 0.2500 0.8881
```

**Total magnetic moment**: 0.000 μB per atom

---

Last place for stability: #1

---

#1
First-principles (PBE) data for a relaxed structure of ReTc2, as listed in Alexandria via LeMat-Bulk.

Structure (POSCAR):
```
ReTc2
1.0
-1.1193 -3.3458 1.6506
1.7925 1.0291 3.3015
-10.1369 6.2752 1.2500
Tc Re
8 4
Direct
0.8332 0.3332 0.6663
0.5003 0.0003 0.0005
0.9997 0.4997 0.9995
0.5832 0.5832 0.1663
0.4168 0.4168 0.8337
0.2503 0.2503 0.5005
0.7497 0.7497 0.4995
0.6668 0.1668 0.3337
0.1666 0.6666 0.3332
0.9166 0.9166 0.8332
0.3334 0.8334 0.6668
0.0834 0.0834 0.1668
```

**Total magnetic moment**: 0.000 μB per atom

---

#2
First-principles (PBE) data for a relaxed structure of ReTc2, as listed in Alexandria via LeMat-Bulk.

Structure (POSCAR):
```
ReTc2
1.0
5.4006 0.0000 0.0000
0.0000 4.2046 0.0000
0.0000 0.0000 7.9072
Re Tc
4 8
Direct
0.6899 0.2500 0.6023
0.8101 0.7500 0.1023
0.1899 0.2500 0.8977
0.3101 0.7500 0.3977
0.5445 0.2500 0.2773
0.3347 0.7500 0.0638
0.1653 0.2500 0.5638
0.9555 0.7500 0.7773
0.6653 0.2500 0.9362
0.0445 0.2500 0.2227
0.8347 0.7500 0.4362
0.4555 0.7500 0.7227
```

**Total magnetic moment**: 0.000 μB per atom

---

#3
First-principles (PBE) data for a relaxed structure of ReTc2, as listed in Alexandria via LeMat-Bulk.

Structure (POSCAR):
```
ReTc2
1.0
-2.1166 3.8154 2.5214
0.2311 4.6806 -1.8529
-4.1591 2.2073 -1.7957
Re Tc
2 4
Direct
0.2500 0.2500 0.2500
0.0000 0.0000 0.0000
0.6250 0.6250 0.6250
0.6250 0.6250 0.1250
0.1250 0.6250 0.6250
0.6250 0.1250 0.6250
```

**Total magnetic moment**: 0.000 μB per atom

---

Last place for stability: #3

---

#1
First-principles (PBE) data for a relaxed structure of ReTc2, as listed in Alexandria via LeMat-Bulk.

Structure (POSCAR):
```
ReTc2
1.0
-4.9200 -4.2234 0.7018
0.9299 -1.4447 -2.1748
2.2570 -4.2563 2.0263
Re Tc
2 4
Direct
0.3323 0.6667 0.6665
0.7232 0.6111 0.7779
0.6643 0.3327 0.3345
0.3913 0.9450 0.1099
0.0564 0.2794 0.4412
0.9992 0.9984 0.0033
```

**Total magnetic moment**: 0.000 μB per atom

---

#2
First-principles (PBE) data for a relaxed structure of ReTc2, as listed in Alexandria via LeMat-Bulk.

Structure (POSCAR):
```
ReTc2
1.0
-0.5286 -5.7863 1.9962
1.4897 -5.8087 -1.3360
1.1778 5.9921 0.6731
Re Tc
1 2
Direct
0.5000 0.5000 0.0000
0.8330 0.8330 0.0000
0.1670 0.1670 0.0000
```

**Total magnetic moment**: 0.000 μB per atom

---

Last place for stability: #2